# Er2TmPd6 (PBE, optimized geometry)
# Space-group type = Immm, No. 71
# DFT formation energy = -0.636 eV per atom
data_Er2TmPd6
_symmetry_space_group_name_H-M 'P 1'
_symmetry_Int_Tables_number 1
_symmetry_space_group_name_Hall 'P 1'
_cell_length_a 3.869
_cell_length_b 8.254
_cell_length_c 7.574
_cell_angle_alpha 123.02
_cell_angle_beta 104.75
_cell_angle_gamma 90.00
loop_
_atom_site_label
_atom_site_fract_x
_atom_site_fract_y
_atom_site_fract_z
_atom_site_occupancy
Er1 0.334 0.334 0.668 1
Tm1 0.000 0.000 0.000 1
Er2 0.666 0.666 0.332 1
Pd1 0.167 0.413 0.333 1
Pd2 0.500 0.748 0.000 1
Pd3 0.500 0.252 0.000 1
Pd4 0.833 0.587 0.667 1
Pd5 0.167 0.920 0.333 1
Pd6 0.833 0.080 0.667 1

# RbIn3I4 (PBE, optimized geometry)
# Space-group type = P2/c, No. 13
# Total DFT energy (no corrections) = -42.11 eV/cell
data_RbIn3I4
_symmetry_space_group_name_H-M 'P 1'
_symmetry_Int_Tables_number 1
_symmetry_space_group_name_Hall 'P 1'
_cell_length_a 8.763
_cell_length_b 8.739
_cell_length_c 10.110
_cell_angle_alpha 90.00
_cell_angle_beta 90.00
_cell_angle_gamma 109.55
loop_
_atom_site_label
_atom_site_fract_x
_atom_site_fract_y
_atom_site_fract_z
_atom_site_occupancy
In1 0.750 0.000 0.376 1
I1 0.493 0.747 0.618 1
Rb1 0.250 0.000 0.128 1
In2 0.750 0.500 0.128 1
In3 0.750 0.500 0.625 1
I2 0.993 0.747 0.382 1
In4 0.250 0.500 0.872 1
I3 0.998 0.260 0.130 1
I4 0.502 0.740 0.130 1
In5 0.250 0.500 0.375 1
I5 0.498 0.260 0.870 1
I6 0.002 0.740 0.870 1
I7 0.507 0.253 0.382 1
Rb2 0.750 0.000 0.872 1
I8 0.007 0.253 0.618 1
In6 0.250 0.000 0.624 1

# AcTb4Ho (PBE, optimized geometry)
# Space-group type = F-43m, No. 216
# Energy above the lowest structure with this stoichiometry = 221 meV/atom
# DFT formation energy = 0.263 eV per atom
data_AcTb4Ho
_symmetry_space_group_name_H-M 'P 1'
_symmetry_Int_Tables_number 1
_symmetry_space_group_name_Hall 'P 1'
_cell_length_a 6.684
_cell_length_b 6.684
_cell_length_c 6.684
_cell_angle_alpha 60.00
_cell_angle_beta 60.00
_cell_angle_gamma 60.00
loop_
_atom_site_label
_atom_site_fract_x
_atom_site_fract_y
_atom_site_fract_z
_atom_site_occupancy
Ho1 0.000 0.000 0.000 1
Tb1 0.626 0.626 0.626 1
Tb2 0.122 0.626 0.626 1
Tb3 0.626 0.122 0.626 1
Tb4 0.626 0.626 0.122 1
Ac1 0.250 0.250 0.250 1

# MgTeOs2 (PBE, optimized geometry)
# Space-group type = Pmm2, No. 25
# Energy above the lowest structure with this stoichiometry = 261 meV/atom
data_MgTeOs2
_symmetry_space_group_name_H-M 'P 1'
_symmetry_Int_Tables_number 1
_symmetry_space_group_name_Hall 'P 1'
_cell_length_a 2.985
_cell_length_b 4.065
_cell_length_c 5.613
_cell_angle_alpha 90.00
_cell_angle_beta 90.00
_cell_angle_gamma 90.00
loop_
_atom_site_label
_atom_site_fract_x
_atom_site_fract_y
_atom_site_fract_z
_atom_site_occupancy
Os1 0.000 0.000 0.008 1
Os2 0.500 0.500 0.241 1
Te1 0.000 0.000 0.475 1
Mg1 0.500 0.500 0.775 1

# PIrAuO2 (PBE, optimized geometry)
# Space-group type = P4/mmm, No. 123
# Energy above the lowest structure with this stoichiometry = 1161 meV/atom
data_PIrAuO2
_symmetry_space_group_name_H-M 'P 1'
_symmetry_Int_Tables_number 1
_symmetry_space_group_name_Hall 'P 1'
_cell_length_a 3.694
_cell_length_b 3.694
_cell_length_c 7.484
_cell_angle_alpha 90.00
_cell_angle_beta 90.00
_cell_angle_gamma 90.00
loop_
_atom_site_label
_atom_site_fract_x
_atom_site_fract_y
_atom_site_fract_z
_atom_site_occupancy
O1 0.500 0.000 0.000 1
O2 0.000 0.500 0.000 1
Ir1 0.500 0.500 0.500 1
Au1 0.000 0.000 0.000 1
P1 0.000 0.000 0.500 1

# AcNi4Sn2Ir (PBE, optimized geometry)
# Space-group type = R-3m, No. 166
# DFT formation energy = -0.199 eV per atom
data_AcNi4Sn2Ir
_symmetry_space_group_name_H-M 'P 1'
_symmetry_Int_Tables_number 1
_symmetry_space_group_name_Hall 'P 1'
_cell_length_a 4.295
_cell_length_b 4.295
_cell_length_c 9.232
_cell_angle_alpha 76.55
_cell_angle_beta 76.55
_cell_angle_gamma 60.00
loop_
_atom_site_label
_atom_site_fract_x
_atom_site_fract_y
_atom_site_fract_z
_atom_site_occupancy
Ni1 0.128 0.128 0.617 1
Sn1 0.230 0.230 0.310 1
Ni2 0.406 0.406 0.783 1
Ni3 0.594 0.594 0.217 1
Ir1 0.500 0.500 0.500 1
Ac1 0.000 0.000 0.000 1
Sn2 0.770 0.770 0.690 1
Ni4 0.872 0.872 0.383 1

# TcBiI2 (PBE, optimized geometry)
# Space-group type = Fm-3m, No. 225
# Energy above the lowest structure with this stoichiometry = 588 meV/atom
data_TcBiI2
_symmetry_space_group_name_H-M 'P 1'
_symmetry_Int_Tables_number 1
_symmetry_space_group_name_Hall 'P 1'
_cell_length_a 5.373
_cell_length_b 5.373
_cell_length_c 5.373
_cell_angle_alpha 60.00
_cell_angle_beta 60.00
_cell_angle_gamma 60.00
loop_
_atom_site_label
_atom_site_fract_x
_atom_site_fract_y
_atom_site_fract_z
_atom_site_occupancy
Bi1 0.500 0.500 0.500 1
I1 0.750 0.750 0.750 1
I2 0.250 0.250 0.250 1
Tc1 0.000 0.000 0.000 1

# CsP2SO (PBE, optimized geometry)
# Space-group type = P4/mmm, No. 123
# Energy above the lowest structure with this stoichiometry = 1294 meV/atom
data_CsP2SO
_symmetry_space_group_name_H-M 'P 1'
_symmetry_Int_Tables_number 1
_symmetry_space_group_name_Hall 'P 1'
_cell_length_a 5.534
_cell_length_b 5.534
_cell_length_c 4.279
_cell_angle_alpha 90.00
_cell_angle_beta 90.00
_cell_angle_gamma 90.00
loop_
_atom_site_label
_atom_site_fract_x
_atom_site_fract_y
_atom_site_fract_z
_atom_site_occupancy
P1 0.000 0.500 0.000 1
Cs1 0.000 0.000 0.000 1
O1 0.000 0.000 0.500 1
P2 0.500 0.000 0.000 1
S1 0.500 0.500 0.500 1

DOS(E_F) in states/eV/f.u., matching the order above: 4.22 0.00 12.06 2.67 7.20 6.13 2.66 4.75